[1]
LiSbTe2Ru: single point on PBEsol structure, meta-GGA SCAN.

Summary:
- VASP energy: -147.92 eV/cell
- Calculated volume: 28.14 Å³/atom
- ΔE_f (raw): 102 kJ/mol of formula units
- Density of states at the Fermi level: 4.01 states/eV/cell

The structure in POSCAR format:
```
LiSbTe2Ru
1.0
5.346 0.000 0.000
0.000 5.346 0.000
0.000 0.000 4.923
Li Sb Te Ru
1 1 2 1
direct
0.000 0.000 0.000
0.500 0.500 0.000
0.000 0.500 0.500
0.500 0.000 0.500
0.500 0.500 0.500
```

***

[2]
ZnRe2Br: single point on PBEsol structure, meta-GGA SCAN.

Summary:
- VASP energy: -171.74 eV/cell
- Calculated volume: 19.06 Å³/atom
- ΔE_f (raw): 331 kJ/mol of formula units
- Density of states at the Fermi level: 2.19 states/eV/cell

The structure in POSCAR format:
```
ZnRe2Br
1.0
3.468 0.000 0.000
0.000 4.555 0.000
-0.844 0.000 4.827
Zn Re Br
1 2 1
direct
0.000 0.000 0.000
0.307 0.500 0.167
0.693 0.500 0.833
0.500 0.000 0.500
```

***

[3]
CrAsCl3: single point on PBEsol structure, meta-GGA SCAN.

Summary:
- VASP energy: -64.62 eV/cell
- Calculated volume: 21.70 Å³/atom
- ΔE_f (raw): -204 kJ/mol of formula units
- Density of states at the Fermi level: 3.93 states/eV/cell

The structure in POSCAR format:
```
CrAsCl3
1.0
4.769 0.000 0.000
0.000 4.769 0.000
0.000 0.000 4.769
Cr As Cl
1 1 3
direct
0.000 0.000 0.000
0.500 0.500 0.500
0.000 0.000 0.500
0.000 0.500 0.000
0.500 0.000 0.000
```

***

[4]
SbPdS: single point on PBEsol structure, meta-GGA SCAN.

Summary:
- VASP energy: -324.19 eV/cell
- Calculated volume: 19.44 Å³/atom
- ΔE_f (raw): -134 kJ/mol of formula units
- Density of states at the Fermi level: 5.59 states/eV/cell

The structure in POSCAR format:
```
SbPdS
1.0
6.156 0.000 0.000
0.000 6.156 0.000
0.000 0.000 6.156
Sb Pd S
4 4 4
direct
0.124 0.376 0.624
0.376 0.624 0.124
0.624 0.124 0.376
0.876 0.876 0.876
0.014 0.986 0.486
0.486 0.014 0.986
0.514 0.514 0.514
0.986 0.486 0.014
0.112 0.112 0.112
0.388 0.888 0.612
0.612 0.388 0.888
0.888 0.612 0.388
```

***

[5]
CdTc2W: single point on PBEsol structure, meta-GGA SCAN.

Summary:
- VASP energy: -169.10 eV/cell
- Calculated volume: 15.61 Å³/atom
- Density of states at the Fermi level: 1.97 states/eV/cell

The structure in POSCAR format:
```
CdTc2W
1.0
1.388 0.802 9.352
-1.388 0.802 9.352
0.000 -1.603 9.352
Cd Tc W
1 2 1
direct
0.000 0.000 0.000
0.245 0.245 0.245
0.506 0.506 0.506
0.758 0.758 0.758
```

***

[6]
Rb3TiF7: single point on PBEsol structure, meta-GGA SCAN.

Summary:
- VASP energy: -279.82 eV/cell
- Calculated volume: 17.46 Å³/atom
- ΔE_f (raw): -3558 kJ/mol of formula units
- Density of states at the Fermi level: 0.00 states/eV/cell

The structure in POSCAR format:
```
Rb3TiF7
1.0
8.058 0.000 0.000
0.000 8.058 0.000
0.000 0.000 5.914
Rb Ti F
6 2 14
direct
0.000 0.000 0.000
0.190 0.310 0.500
0.310 0.810 0.500
0.500 0.500 0.000
0.690 0.190 0.500
0.810 0.690 0.500
0.000 0.500 0.000
0.500 0.000 0.000
0.000 0.000 0.500
0.114 0.614 0.228
0.114 0.614 0.772
0.164 0.336 0.000
0.336 0.836 0.000
0.386 0.114 0.228
0.386 0.114 0.772
0.500 0.500 0.500
0.614 0.886 0.228
0.614 0.886 0.772
0.664 0.164 0.000
0.836 0.664 0.000
0.886 0.386 0.228
0.886 0.386 0.772
```

***

[7]
MnRhO3: single point on PBEsol structure, meta-GGA SCAN.

Summary:
- VASP energy: -75.14 eV/cell
- Calculated volume: 10.06 Å³/atom
- ΔE_f (raw): -427 kJ/mol of formula units
- Density of states at the Fermi level: 2.02 states/eV/cell

The structure in POSCAR format:
```
MnRhO3
1.0
3.691 0.000 0.000
0.000 3.691 0.000
0.000 0.000 3.691
Mn Rh O
1 1 3
direct
0.000 0.000 0.000
0.500 0.500 0.500
0.000 0.000 0.500
0.000 0.500 0.000
0.500 0.000 0.000
```

***

[8]
ScP2SeCl: single point on PBEsol structure, meta-GGA SCAN.

Summary:
- VASP energy: -62.65 eV/cell
- Calculated volume: 23.27 Å³/atom
- ΔE_f (raw): 42 kJ/mol of formula units
- Density of states at the Fermi level: 3.00 states/eV/cell

The structure in POSCAR format:
```
ScP2SeCl
1.0
5.024 0.000 0.000
0.000 5.024 0.000
0.000 0.000 4.609
Sc P Se Cl
1 2 1 1
direct
0.000 0.000 0.000
0.000 0.500 0.000
0.500 0.000 0.000
0.500 0.500 0.500
0.000 0.000 0.500
```

***

Q: Which of these has the highest density of states at the Fermi level?
A: SbPdS